Record 1
The following is a GGA-PBEsol calculation of a relaxed structure of SiAu, from Alexandria.

Calculated values
Total DFT energy (no corrections) = -9.62 eV per formula unit
Uncorrected formation energy = 0.028 eV/atom
DOS(E_F) = 1.5 states/eV/cell
Magnetization = 0.00 μB per atom

a b c (Å): 3.787 3.943 5.367
angles (deg): 68.45 90.00 90.00
Atoms (fractional coordinates):
1 Si 0.250 0.430 0.139
2 Si 0.750 0.570 0.861
3 Au 0.250 0.791 0.418
4 Au 0.750 0.209 0.582

=====

Record 2
The following is a GGA-PBEsol calculation of a relaxed structure of ZnSbTe2S, from Alexandria.

Calculated values
Total DFT energy (no corrections) = -14.03 eV per formula unit
Uncorrected formation energy = 0.710 eV/atom
DOS(E_F) = 5.4 states/eV/cell
Magnetization = 0.00 μB per atom

a b c (Å): 5.066 5.066 5.212
angles (deg): 90.00 90.00 90.00
Atoms (fractional coordinates):
1 Sb 0.000 0.000 0.500
2 Zn 0.000 0.000 0.000
3 Te 0.000 0.500 0.000
4 Te 0.500 0.000 0.000
5 S 0.500 0.500 0.500

=====

Record 3
The following is a GGA-PBEsol calculation of a relaxed structure of LiHg2Au, from Alexandria.

Calculated values
E_form = -0.257 eV/atom
Total DFT energy (no corrections) = -8.05 eV per formula unit
DOS(E_F) = 1.0 states/eV/cell
Magnetization = 0.00 μB per atom

a b c (Å): 4.110 4.241 4.241
angles (deg): 90.00 90.00 90.00
Atoms (fractional coordinates):
1 Au 0.500 0.000 0.000
2 Hg 0.000 0.000 0.500
3 Hg 0.000 0.500 0.000
4 Li 0.500 0.500 0.500

=====

Record 4
The following is a GGA-PBEsol calculation of a relaxed structure of HgAuO3, from Alexandria.

Calculated values
Total DFT energy (no corrections) = -18.61 eV per formula unit
Uncorrected formation energy = 0.325 eV/atom
DOS(E_F) = 3.8 states/eV/cell
Magnetization = 0.00 μB per atom

a b c (Å): 4.007 4.007 4.007
angles (deg): 90.00 90.00 90.00
Atoms (fractional coordinates):
1 Au 0.000 0.000 0.000
2 Hg 0.500 0.500 0.500
3 O 0.000 0.500 0.000
4 O 0.000 0.000 0.500
5 O 0.500 0.000 0.000

=====

Record 5
The following is a GGA-PBEsol calculation of a relaxed structure of Ag10Te4Br3, from Alexandria.

Calculated values
Total DFT energy (no corrections) = -55.09 eV per formula unit
Uncorrected formation energy = -0.133 eV/atom
Magnetization = 0.00 μB per atom

a b c (Å): 10.806 10.806 13.573
angles (deg): 90.00 90.00 90.31
Atoms (fractional coordinates):
1 Ag 0.938 0.878 0.767
2 Ag 0.639 0.152 0.642
3 Ag 0.369 0.823 0.915
4 Ag 0.631 0.177 0.415
5 Ag 0.406 0.303 0.661
6 Ag 0.369 0.824 0.612
7 Ag 0.848 0.361 0.642
8 Ag 0.153 0.636 0.386
9 Ag 0.176 0.631 0.612
10 Ag 0.364 0.847 0.386
11 Ag 0.405 0.305 0.868
12 Ag 0.368 0.632 0.264
13 Ag 0.697 0.594 0.661
14 Ag 0.980 0.825 0.441
15 Ag 0.177 0.631 0.915
16 Ag 0.172 0.022 0.090
17 Ag 0.305 0.405 0.368
18 Ag 0.825 0.980 0.941
19 Ag 0.824 0.369 0.112
20 Ag 0.695 0.595 0.868
21 Ag 0.152 0.639 0.142
22 Ag 0.636 0.153 0.886
23 Ag 0.022 0.172 0.590
24 Ag 0.978 0.828 0.090
25 Ag 0.878 0.938 0.267
26 Ag 0.823 0.369 0.415
27 Ag 0.303 0.406 0.161
28 Ag 0.020 0.175 0.941
29 Ag 0.828 0.978 0.590
30 Ag 0.122 0.062 0.767
31 Ag 0.859 0.141 0.766
32 Ag 0.631 0.176 0.112
33 Ag 0.062 0.122 0.267
34 Ag 0.847 0.364 0.886
35 Ag 0.595 0.695 0.368
36 Ag 0.175 0.020 0.441
37 Ag 0.632 0.368 0.764
38 Ag 0.141 0.859 0.266
39 Ag 0.361 0.848 0.142
40 Ag 0.594 0.697 0.161
41 Te 0.386 0.614 0.470
42 Te 0.116 0.884 0.606
43 Te 0.614 0.386 0.970
44 Te 0.513 0.299 0.264
45 Te 0.313 0.050 0.265
46 Te 0.050 0.313 0.765
47 Te 0.950 0.687 0.265
48 Te 0.299 0.513 0.764
49 Te 0.883 0.117 0.425
50 Te 0.386 0.614 0.059
51 Te 0.687 0.950 0.765
52 Te 0.884 0.116 0.106
53 Te 0.117 0.883 0.925
54 Te 0.487 0.701 0.764
55 Te 0.701 0.487 0.264
56 Te 0.614 0.386 0.559
57 Br 0.000 0.501 0.014
58 Br 0.367 0.089 0.765
59 Br 0.250 0.250 0.014
60 Br 0.501 0.000 0.514
61 Br 0.911 0.633 0.765
62 Br 0.750 0.750 0.514
63 Br 0.750 0.750 0.014
64 Br 0.089 0.367 0.265
65 Br 0.250 0.250 0.514
66 Br 0.000 0.499 0.514
67 Br 0.633 0.911 0.265
68 Br 0.499 0.000 0.014

=====

Record 6
The following is a GGA-PBEsol calculation of a relaxed structure of BiMoF2, from Alexandria.

Calculated values
Total DFT energy (no corrections) = -20.85 eV per formula unit
Uncorrected formation energy = -0.235 eV/atom
DOS(E_F) = 7.1 states/eV/cell
Magnetization = 0.45 μB per atom

a b c (Å): 4.397 4.397 4.397
angles (deg): 60.00 60.00 60.00
Atoms (fractional coordinates):
1 Mo 0.000 0.000 0.000
2 Bi 0.500 0.500 0.500
3 F 0.250 0.250 0.250
4 F 0.750 0.750 0.750

=====

Record 7
The following is a GGA-PBEsol calculation of a relaxed structure of Mn2SiPt, from Alexandria.

Calculated values
Total DFT energy (no corrections) = -33.25 eV per formula unit
Uncorrected formation energy = -0.254 eV/atom
DOS(E_F) = 4.7 states/eV/cell
Magnetization = 0.53 μB per atom

a b c (Å): 2.690 2.690 6.535
angles (deg): 90.00 90.00 90.00
Atoms (fractional coordinates):
1 Mn 0.000 0.000 0.719
2 Mn 0.000 0.000 0.281
3 Pt 0.500 0.500 0.000
4 Si 0.500 0.500 0.500

=====

Record 8
The following is a GGA-PBEsol calculation of a relaxed structure of AlAgP2Se6, from Alexandria.

Calculated values
Total DFT energy (no corrections) = -45.04 eV per formula unit
Uncorrected formation energy = -0.296 eV/atom
Magnetization = 0.00 μB per atom

a b c (Å): 6.297 6.296 7.093
angles (deg): 81.83 73.48 59.99
Atoms (fractional coordinates):
1 P 0.948 0.000 0.164
2 P 0.053 0.000 0.836
3 Ag 0.667 0.666 0.000
4 Al 0.333 0.334 0.000
5 Se 0.563 0.321 0.249
6 Se 0.957 0.643 0.251
7 Se 0.400 0.643 0.749
8 Se 0.116 0.321 0.751
9 Se 0.240 0.036 0.250
10 Se 0.723 0.036 0.750

=====

Values of V, in order: 74.5, 133.8, 73.9, 64.3, 1585.0, 60.1, 47.3, 233.4, all in Å³ per cell.